Record 1
VASP calculation (SCAN) on a crystal of NaLiBeF4 relaxed with PBEsol.

a = 10.7567 Å, b = 6.1626 Å, c = 4.5986 Å
α = 90.00°, β = 90.00°, γ = 90.00°
With the nearest neighbours (Å) after each atom.
Space group Pnma (No. 62)
Unique sites:
Na  0.2263  0.2500  0.0331 x4  6 F 2.23-2.39
Li  0.0000  0.0000  0.5000 x4  6 F 2.00-2.13
Be  0.0775  0.7500  0.0997 x4  4 F 1.54-1.57
F  0.0540  0.2500  0.7496 x4  1 Be 1.57
F  0.0754  0.7500  0.7656 x4  1 Be 1.54
F  0.1438  0.5466  0.2319 x8  1 Be 1.57

Computed properties:
theoretical density	2.5	Mg/m³
total magnetic moment	0.00	μB per formula unit
formation energy without anion corrections	-315	kJ/mol of atoms

---

Record 2
VASP calculation (SCAN) on a crystal of LiBeOF2 relaxed with PBEsol.

a = 3.5768 Å, b = 3.5768 Å, c = 3.3119 Å
α = 90.00°, β = 90.00°, γ = 90.00°
With the nearest neighbours (Å) after each atom.
Space group P4/mmm (No. 123)
Unique sites:
Li  0.0000  0.0000  0.0000 x1  8 F 2.44, 4 O 2.53
Be  0.5000  0.5000  0.5000 x1  2 O 1.66, 4 F 1.79
O  0.5000  0.5000  0.0000 x1  2 Be 1.66
F  0.0000  0.5000  0.5000 x2  2 Be 1.79

Computed properties:
theoretical density	2.7	Mg/m³
total magnetic moment	1.00	μB per formula unit
formation energy without anion corrections	-220	kJ/mol of atoms

---

Record 3
VASP calculation (SCAN) on a crystal of MgBeF3 relaxed with PBEsol.

a = 3.8856 Å, b = 3.8856 Å, c = 3.8856 Å
α = 90.00°, β = 90.00°, γ = 90.00°
With the nearest neighbours (Å) after each atom.
Space group Pm-3m (No. 221)
Unique sites:
Mg  0.0000  0.0000  0.0000 x1  6 F 1.94
Be  0.5000  0.5000  0.5000 x1  12 F 2.75
F  0.0000  0.0000  0.5000 x3  2 Mg 1.94

Computed properties:
theoretical density	2.6	Mg/m³
total magnetic moment	0.99	μB per formula unit
formation energy without anion corrections	-219	kJ/mol of atoms

---

Record 4
VASP calculation (SCAN) on a crystal of MgBe3F relaxed with PBEsol.

a = 3.8966 Å, b = 3.8966 Å, c = 3.8966 Å
α = 90.00°, β = 90.00°, γ = 90.00°
With the nearest neighbours (Å) after each atom.
Space group Pm-3m (No. 221)
Unique sites:
Mg  0.0000  0.0000  0.0000 x1  12 Be 2.76
Be  0.0000  0.5000  0.5000 x3  2 F 1.95
F  0.5000  0.5000  0.5000 x1  6 Be 1.95

Computed properties:
theoretical density	2.0	Mg/m³
total magnetic moment	0.00	μB per formula unit
formation energy without anion corrections	21	kJ/mol of atoms

---

Record 5
VASP calculation (SCAN) on a crystal of MgBe2NF relaxed with PBEsol.

a = 3.2326 Å, b = 3.2326 Å, c = 5.2955 Å
α = 90.00°, β = 90.00°, γ = 90.00°
With the nearest neighbours (Å) after each atom.
Space group P4/mmm (No. 123)
Unique sites:
Mg  0.0000  0.0000  0.0000 x1  4 N 2.29
Be  0.0000  0.5000  0.5000 x2  2 F 1.62
N  0.5000  0.5000  0.0000 x1  4 Mg 2.29
F  0.0000  0.0000  0.5000 x1  4 Be 1.62

Computed properties:
theoretical density	2.3	Mg/m³
total magnetic moment	0.00	μB per formula unit
formation energy without anion corrections	16	kJ/mol of atoms

---

Record 6
VASP calculation (SCAN) on a crystal of BeMoOF2 relaxed with PBEsol.

a = 4.1549 Å, b = 4.1549 Å, c = 3.7729 Å
α = 90.00°, β = 90.00°, γ = 90.00°
With the nearest neighbours (Å) after each atom.
Space group P4/mmm (No. 123)
Unique sites:
Be  0.0000  0.0000  0.0000 x1  8 F 2.81, 4 O 2.94
Mo  0.5000  0.5000  0.5000 x1  2 O 1.89, 4 F 2.08
O  0.5000  0.5000  0.0000 x1  2 Mo 1.89
F  0.0000  0.5000  0.5000 x2  2 Mo 2.08

Computed properties:
theoretical density	4.1	Mg/m³
total magnetic moment	2.23	μB per formula unit
formation energy without anion corrections	-100	kJ/mol of atoms

---

Record 7
VASP calculation (SCAN) on a crystal of BeMoO2F relaxed with PBEsol.

a = 3.7121 Å, b = 3.7121 Å, c = 3.0114 Å
α = 90.00°, β = 90.00°, γ = 90.00°
With the nearest neighbours (Å) after each atom.
Space group P4/mmm (No. 123)
Unique sites:
Be  0.0000  0.0000  0.0000 x1  2 F 1.51
Mo  0.5000  0.5000  0.5000 x1  8 O 2.39, 4 F 2.62
O  0.0000  0.5000  0.0000 x2  2 Be 1.86
F  0.0000  0.0000  0.5000 x1  2 Be 1.51

Computed properties:
theoretical density	6.2	Mg/m³
total magnetic moment	2.71	μB per formula unit
formation energy without anion corrections	-154	kJ/mol of atoms

---

Record 8
VASP calculation (SCAN) on a crystal of BeSnMoF2 relaxed with PBEsol.

a = 3.9376 Å, b = 3.9376 Å, c = 5.6401 Å
α = 90.00°, β = 90.00°, γ = 90.00°
With the nearest neighbours (Å) after each atom.
Space group P4/mmm (No. 123)
Unique sites:
Be  0.0000  0.0000  0.0000 x1  4 Sn 2.78
Sn  0.5000  0.5000  0.0000 x1  4 Be 2.78, 2 Mo 2.82
Mo  0.5000  0.5000  0.5000 x1  4 F 1.97
F  0.0000  0.5000  0.5000 x2  2 Mo 1.97

Computed properties:
theoretical density	5.0	Mg/m³
total magnetic moment	2.59	μB per formula unit
formation energy without anion corrections	-65	kJ/mol of atoms